Record 1
Here is a relaxed K3TcRu crystal from the Alexandria database. Energies are from GGA-PBE.

Geometry as CIF:
```
data_K3TcRu
_chemical_formula_sum 'K3 Tc1 Ru1'
_space_group_name_H-M_alt 'P 1'
_space_group_IT_number 1
_cell_length_a 6.111
_cell_length_b 6.111
_cell_length_c 6.111
_cell_angle_alpha 90.00
_cell_angle_beta 90.00
_cell_angle_gamma 90.00
loop_
_space_group_symop_operation_xyz
'x,y,z'
loop_
_atom_site_label
_atom_site_type_symbol
_atom_site_fract_x
_atom_site_fract_y
_atom_site_fract_z
_atom_site_occupancy
K1 K 0.000 0.000 0.500 1
K2 K 0.000 0.500 0.000 1
K3 K 0.500 0.000 0.000 1
Tc1 Tc 0.500 0.500 0.500 1
Ru1 Ru 0.000 0.000 0.000 1
```

As for the space group: Pm-3m. Its final energy is -2.698 eV/atom. The value obtained for the formation energy is 1889 meV per atom. The density of states at the Fermi level is 6.1 states/eV/f.u. The energy above the lowest structure with this stoichiometry comes out at 0.000 eV per atom. Its magnetic moment is 1.2000 μB per atom.


Record 2
Here is a relaxed KTcRu crystal from the Alexandria database. Energies are from GGA-PBE.

Geometry as CIF:
```
data_KTcRu
_chemical_formula_sum 'K1 Tc1 Ru1'
_space_group_name_H-M_alt 'P 1'
_space_group_IT_number 1
_cell_length_a 4.635
_cell_length_b 4.635
_cell_length_c 4.635
_cell_angle_alpha 60.00
_cell_angle_beta 60.00
_cell_angle_gamma 60.00
loop_
_space_group_symop_operation_xyz
'x,y,z'
loop_
_atom_site_label
_atom_site_type_symbol
_atom_site_fract_x
_atom_site_fract_y
_atom_site_fract_z
_atom_site_occupancy
K1 K 0.000 0.000 0.000 1
Tc1 Tc 0.750 0.750 0.750 1
Ru1 Ru 0.250 0.250 0.250 1
```

As for the space group: F-43m. Its final energy is -4.031 eV/atom. The value obtained for the formation energy is 2882 meV per atom. The density of states at the Fermi level is 6.6 states/eV/f.u. The energy above the lowest structure with this stoichiometry comes out at 2.078 eV per atom. Its magnetic moment is 1.5526 μB per atom.


Record 3
Here is a relaxed KTcRu crystal from the Alexandria database. Energies are from GGA-PBE.

Geometry as CIF:
```
data_KTcRu
_chemical_formula_sum 'K1 Tc1 Ru1'
_space_group_name_H-M_alt 'P 1'
_space_group_IT_number 1
_cell_length_a 7.264
_cell_length_b 7.264
_cell_length_c 7.264
_cell_angle_alpha 155.56
_cell_angle_beta 155.56
_cell_angle_gamma 34.83
loop_
_space_group_symop_operation_xyz
'x,y,z'
loop_
_atom_site_label
_atom_site_type_symbol
_atom_site_fract_x
_atom_site_fract_y
_atom_site_fract_z
_atom_site_occupancy
K1 K 0.000 0.000 0.000 1
Tc1 Tc 0.713 0.713 0.000 1
Ru1 Ru 0.300 0.300 0.000 1
```

As for the space group: I4mm. Its final energy is -6.110 eV/atom. The value obtained for the formation energy is 803 meV per atom. The density of states at the Fermi level is 4.1 states/eV/f.u. The energy above the lowest structure with this stoichiometry comes out at 0.000 eV per atom. Its magnetic moment is 0.0096 μB per atom.


Record 4
Here is a relaxed KTcRu crystal from the Alexandria database. Energies are from GGA-PBE.

Geometry as CIF:
```
data_KTcRu
_chemical_formula_sum 'K1 Tc1 Ru1'
_space_group_name_H-M_alt 'P 1'
_space_group_IT_number 1
_cell_length_a 8.344
_cell_length_b 8.140
_cell_length_c 2.774
_cell_angle_alpha 84.49
_cell_angle_beta 76.18
_cell_angle_gamma 19.33
loop_
_space_group_symop_operation_xyz
'x,y,z'
loop_
_atom_site_label
_atom_site_type_symbol
_atom_site_fract_x
_atom_site_fract_y
_atom_site_fract_z
_atom_site_occupancy
K1 K 0.000 0.000 0.000 1
Tc1 Tc 0.310 0.310 0.690 1
Ru1 Ru 0.681 0.681 0.319 1
```

As for the space group: Fmm2. Its final energy is -5.926 eV/atom. The value obtained for the formation energy is 987 meV per atom. The density of states at the Fermi level is 4.2 states/eV/f.u. The energy above the lowest structure with this stoichiometry comes out at 0.183 eV per atom. Its magnetic moment is 0.0007 μB per atom.


Record 5
Here is a relaxed KTcRu crystal from the Alexandria database. Energies are from GGA-PBE.

Geometry as CIF:
```
data_KTcRu
_chemical_formula_sum 'K1 Tc1 Ru1'
_space_group_name_H-M_alt 'P 1'
_space_group_IT_number 1
_cell_length_a 5.030
_cell_length_b 5.030
_cell_length_c 2.523
_cell_angle_alpha 90.00
_cell_angle_beta 90.00
_cell_angle_gamma 120.00
loop_
_space_group_symop_operation_xyz
'x,y,z'
loop_
_atom_site_label
_atom_site_type_symbol
_atom_site_fract_x
_atom_site_fract_y
_atom_site_fract_z
_atom_site_occupancy
K1 K 0.000 0.000 0.000 1
Tc1 Tc 0.333 0.667 0.500 1
Ru1 Ru 0.667 0.333 0.500 1
```

As for the space group: P-6m2. Its final energy is -5.500 eV/atom. The value obtained for the formation energy is 1413 meV per atom. The density of states at the Fermi level is 3.6 states/eV/f.u. The energy above the lowest structure with this stoichiometry comes out at 0.610 eV per atom. Its magnetic moment is 0.0000 μB per atom.


Record 6
Here is a relaxed KTcRu crystal from the Alexandria database. Energies are from GGA-PBE.

Geometry as CIF:
```
data_KTcRu
_chemical_formula_sum 'K1 Tc1 Ru1'
_space_group_name_H-M_alt 'P 1'
_space_group_IT_number 1
_cell_length_a 2.840
_cell_length_b 2.840
_cell_length_c 7.993
_cell_angle_alpha 90.00
_cell_angle_beta 90.00
_cell_angle_gamma 120.00
loop_
_space_group_symop_operation_xyz
'x,y,z'
loop_
_atom_site_label
_atom_site_type_symbol
_atom_site_fract_x
_atom_site_fract_y
_atom_site_fract_z
_atom_site_occupancy
K1 K 0.000 0.000 0.000 1
Tc1 Tc 0.667 0.333 0.617 1
Ru1 Ru 0.333 0.667 0.369 1
```

As for the space group: P3m1. Its final energy is -6.068 eV/atom. The value obtained for the formation energy is 845 meV per atom. The density of states at the Fermi level is 2.2 states/eV/f.u. The energy above the lowest structure with this stoichiometry comes out at 0.042 eV per atom. Its magnetic moment is 0.0000 μB per atom.


Q: Look up the magnetic moment of the fifth one.
A: 0.0000 μB per atom